Compound: PrYHg2
Source: Alexandria
Functional: GGA-PBE
Structure: optimized geometry

- uncorrected energy (eV/cell) = -13.1
- crystal system = trigonal

Lattice parameters (Å, degrees): 3.8772 3.8772 9.4452 78.14 78.14 59.98
Closest atoms and distances in Å follow each position.
Fractional positions:
Pr  0.6666  0.6666  0.9998  6 Hg 3.27
Hg  0.0866  0.0866  0.7406  3 Y 3.14, 3 Pr 3.27
Hg  0.2467  0.2467  0.2597  3 Y 3.14, 3 Pr 3.27
Y  0.5001  0.5001  0.4999  6 Hg 3.14

Compound: PrY2Hg
Source: Alexandria
Functional: GGA-PBE
Structure: optimized geometry

- uncorrected energy (eV/cell) = -18.7
- crystal system = trigonal

Lattice parameters (Å, degrees): 3.6978 3.6978 10.8204 80.16 80.16 60.00
Closest atoms and distances in Å follow each position.
Fractional positions:
Pr  0.5002  0.5002  0.4995  6 Y 3.65-3.66, 6 Pr 3.70
Hg  0.6665  0.6665  0.0006  6 Y 3.16-3.17
Y  0.2599  0.2599  0.2203  3 Hg 3.16
Y  0.0735  0.0735  0.7796  3 Hg 3.17

Repeat the second record exactly.
Compound: PrY2Hg
Source: Alexandria
Functional: GGA-PBE
Structure: optimized geometry

- uncorrected energy (eV/cell) = -18.7
- crystal system = trigonal

Lattice parameters (Å, degrees): 3.6978 3.6978 10.8204 80.16 80.16 60.00
Closest atoms and distances in Å follow each position.
Fractional positions:
Pr  0.5002  0.5002  0.4995  6 Y 3.65-3.66, 6 Pr 3.70
Hg  0.6665  0.6665  0.0006  6 Y 3.16-3.17
Y  0.2599  0.2599  0.2203  3 Hg 3.16
Y  0.0735  0.0735  0.7796  3 Hg 3.17